{
  "formula": "CaRe2Sb",
  "functional": "meta-GGA SCAN",
  "state": "PBEsol geometry",
  "magnetic_moment_mub_per_fu": 0.000,
  "formation_energy_uncorrected_ev_per_fu": 2.497,
  "dft_energy_ev_per_cell": -186.622,
  "spacegroup": "No. 10",
  "lattice_angstrom": [[-2.7255, 0.2542, 0.7654], [-0.1904, -4.9655, 0.9715], [1.5839, 0.8915, 4.8671]],
  "species": ["Re", "Re", "Ca", "Sb"],
  "fractional_positions": [[0.6174, 0.0000, 0.7300], [0.3826, 0.0000, 0.2700], [0.0000, 0.5000, 0.5000], [0.5000, 0.5000, 0.0000]]
}